Below is Ce2UGa6 after structural relaxation, with properties calculated at the PBE-GGA level.

Summary:
* space group: C2/m (12)
* magnetic moment: 3.7 μB per formula unit
* formation enthalpy at 0 K: -396 meV/atom
* E: -44.9 eV/f.u.

Lattice parameters (Å, degrees): 3.4364 7.9140 7.9140 59.99 89.94 89.94
Fractional coordinates of all 9 atoms:
Ce 0.0000 0.3333 0.3334
Ce 0.0000 0.6667 0.6666
U 0.0000 0.0000 0.0000
Ga 0.4991 0.6688 0.0000
Ga 0.5009 0.0000 0.3312
Ga 0.5009 0.3312 0.0000
Ga 0.5000 0.6689 0.3311
Ga 0.4991 0.0000 0.6688
Ga 0.5000 0.3311 0.6689